Entry 1:
First-principles (PBE) data for an optimized crystal structure of LiErP4O12, as listed in OQMD via LeMat-Bulk.

Cell and atoms, written as extended XYZ:
```
36
Lattice="-6.621 -1.319 -1.689 1.257 8.099 3.087 5.274 0.805 -6.966" Properties=species:S:1:pos:R:3 pbc="T T T"
Er 1.337 2.167 -1.045
Er -1.427 5.418 -4.523
Li -1.967 1.509 -1.888
Li 1.877 6.076 -3.681
O -0.125 6.359 1.858
O -2.251 5.503 0.907
O -0.813 1.545 -0.311
O -3.845 4.238 -0.476
O -3.077 -0.070 -2.243
O -4.087 6.786 -0.313
O 0.202 4.091 -0.685
O -3.600 2.542 -2.234
O -0.596 6.529 -0.664
O -0.291 2.037 -2.743
O 1.791 6.056 -1.031
O -2.359 4.797 -2.499
O 2.269 2.788 -3.070
O -1.881 1.529 -4.538
O 0.201 5.548 -2.826
O 0.506 1.057 -4.905
O 3.510 5.043 -3.335
O -0.292 3.494 -4.883
O 3.997 0.800 -5.256
O 2.987 7.656 -3.326
O 3.755 3.348 -5.093
O 0.723 6.041 -5.258
O 2.161 2.082 -6.475
O 0.035 1.226 -7.427
P -3.800 5.532 0.449
P -1.164 6.674 0.831
P -3.562 4.036 -2.044
P 0.335 5.428 -1.340
P -0.425 2.157 -4.229
P 3.472 3.550 -3.525
P 1.074 0.912 -6.400
P 3.710 2.053 -6.018
```

ΔE to the lowest computed polymorph = 0 meV per atom
Calculated volume = 11.9 Å³/atom
Crystal system = monoclinic
ρ = 3.8 g/cm3
Electronic total energy = -7.319 eV/atom


Entry 2:
First-principles (PBE) data for an optimized crystal structure of Li4ErPaO6, as listed in OQMD via LeMat-Bulk.

Cell and atoms, written as extended XYZ:
```
12
Lattice="-2.806 -4.856 -0.018 -2.806 4.856 -0.018 1.873 0.000 -4.955" Properties=species:S:1:pos:R:3 pbc="T T T"
Er -2.806 -3.231 -0.018
Li -2.806 -0.009 -0.018
Li -1.869 -4.755 -2.495
Li -1.869 -1.416 -2.495
Li -1.869 1.324 -2.495
O -3.769 -1.626 -1.203
O -3.739 1.643 -1.231
O -0.892 -0.014 -1.238
O -2.847 -0.014 -3.753
O 0.000 1.643 -3.760
O 0.030 -1.626 -3.788
Pa -2.806 3.224 -0.018
```

Calculated volume = 11.3 Å³/atom
Crystal system = monoclinic
ρ = 6.4 g/cm3
Electronic total energy = -6.819 eV/atom